Here is crystalline Re2Ir2C at its relaxed geometry from Alexandria. Energies are from PBE.

The space group is P4/mbm (No. 127) and the conventional cell measures 7.502, 7.502 and 2.738 Å, with angles of 90.00, 90.00 and 90.00 degrees. Symmetry generates all atoms from Re at (0.172, 0.328, 0.000), Ir at (0.124, 0.624, 0.500) and C at (0.000, 0.000, 0.000).

Its density of states at the Fermi level is 0.72 states/eV per atom. The magnetic moment is 0.00 μB/cell. The energy above the lowest structure with this stoichiometry is 0.0 kJ/mol of formula units. The total energy is -9.04 eV per atom. For the calculated formation energy, the calculation gives 127.9 kJ/mol of atoms.


Here is crystalline ZrRe2IrC at its relaxed geometry from Alexandria. Energies are from PBE.

The space group is P4/mmm (No. 123) and the conventional cell measures 4.923, 4.923 and 3.759 Å, with angles of 90.00, 90.00 and 90.00 degrees. Symmetry generates all atoms from Zr at (0.000, 0.000, 0.000), Re at (0.000, 0.500, 0.500), Ir at (0.500, 0.500, 0.500) and C at (0.500, 0.500, 0.000).

Its density of states at the Fermi level is 0.97 states/eV per atom. The magnetic moment is 0.00 μB/cell. The total energy is -8.77 eV per atom. For the calculated formation energy, the calculation gives 147.8 kJ/mol of atoms.